## Sm3SnC (GGA-PBE)

Data for a geometry-optimized Sm3SnC structure.

The structure in POSCAR format:
```
Sm3SnC
1.0
-0.976 -4.908 -0.514
2.680 -0.967 4.146
-4.143 0.531 2.802
Sm Sn C
3 1 1
direct
0.000 0.000 0.500 Sm
0.500 0.000 0.000 Sm
0.000 0.500 0.000 Sm
0.500 0.500 0.500 Sn
0.000 0.000 0.000 C
```

energy above the lowest structure with this stoichiometry: 0.000 eV/atom

## Sm6Sn2C (GGA-PBE)

Data for a geometry-optimized Sm6Sn2C structure.

The structure in POSCAR format:
```
Sm6Sn2C
1.0
3.824 0.000 0.000
0.000 8.633 0.000
0.000 -4.316 7.473
Sm Sn C
6 2 1
direct
0.500 0.409 0.410 Sm
0.000 0.780 0.780 Sm
0.000 0.000 0.220 Sm
0.500 0.590 0.000 Sm
0.500 0.000 0.590 Sm
0.000 0.221 0.000 Sm
0.000 0.667 0.333 Sn
0.000 0.333 0.667 Sn
0.500 0.001 0.000 C
```

energy above the lowest structure with this stoichiometry: 0.176 eV/atom

## Sm6Sn2C (GGA-PBE)

Data for a geometry-optimized Sm6Sn2C structure.

The structure in POSCAR format:
```
Sm6Sn2C
1.0
-4.491 5.312 1.184
0.835 -0.844 6.955
7.623 6.470 -0.130
Sm Sn C
12 4 2
direct
0.746 0.254 0.000 Sm
0.000 0.000 0.746 Sm
0.254 0.254 0.000 Sm
0.000 0.000 0.254 Sm
0.500 0.500 0.754 Sm
0.500 0.500 0.246 Sm
0.754 0.246 0.500 Sm
0.746 0.746 0.000 Sm
0.246 0.246 0.500 Sm
0.246 0.754 0.500 Sm
0.754 0.754 0.500 Sm
0.254 0.746 0.000 Sm
0.500 0.000 0.250 Sn
0.000 0.500 0.250 Sn
0.000 0.500 0.750 Sn
0.500 0.000 0.750 Sn
0.000 0.000 0.500 C
0.500 0.500 0.000 C
```

energy above the lowest structure with this stoichiometry: 0.000 eV/atom

## Sm6Sn3C (GGA-PBE)

Data for a geometry-optimized Sm6Sn3C structure.

The structure in POSCAR format:
```
Sm6Sn3C
1.0
6.453 0.000 0.128
0.000 8.396 0.000
0.227 0.000 10.638
Sm Sn C
12 6 2
direct
0.333 0.851 0.052 Sm
0.618 0.217 0.556 Sm
0.167 0.351 0.448 Sm
0.127 0.047 0.773 Sm
0.873 0.953 0.227 Sm
0.833 0.649 0.552 Sm
0.882 0.717 0.944 Sm
0.373 0.547 0.727 Sm
0.118 0.283 0.056 Sm
0.627 0.453 0.273 Sm
0.667 0.149 0.948 Sm
0.382 0.783 0.444 Sm
0.589 0.894 0.737 Sn
0.000 0.000 0.500 Sn
0.500 0.500 0.000 Sn
0.089 0.606 0.237 Sn
0.911 0.394 0.763 Sn
0.411 0.106 0.263 Sn
0.000 0.000 0.000 C
0.500 0.500 0.500 C
```

## Sm4Sn2C (GGA-PBE)

Data for a geometry-optimized Sm4Sn2C structure.

The structure in POSCAR format:
```
Sm4Sn2C
1.0
4.929 0.000 0.000
0.000 4.929 0.000
-2.464 -2.464 8.173
Sm Sn C
4 2 1
direct
0.000 0.500 0.000 Sm
0.839 0.839 0.678 Sm
0.161 0.161 0.322 Sm
0.500 0.000 0.000 Sm
0.639 0.639 0.279 Sn
0.361 0.361 0.721 Sn
0.000 0.000 0.000 C
```

energy above the lowest structure with this stoichiometry: 0.000 eV/atom

## Sm7Sn4C (GGA-PBE)

Data for a geometry-optimized Sm7Sn4C structure.

The structure in POSCAR format:
```
Sm7Sn4C
1.0
5.173 0.000 0.000
2.586 9.075 0.351
2.586 0.833 8.085
Sn Sm C
4 7 1
direct
0.418 0.780 0.384 Sn
0.278 0.348 0.096 Sn
0.722 0.652 0.904 Sn
0.582 0.220 0.616 Sn
0.220 0.137 0.424 Sm
0.500 0.000 0.000 Sm
0.638 0.456 0.268 Sm
0.362 0.544 0.732 Sm
0.780 0.863 0.576 Sm
0.064 0.751 0.121 Sm
0.936 0.249 0.879 Sm
0.000 0.000 0.000 C
```

Computed size of the total moment, in the same sequence as the records: 0.0 2.8 0.0 0.0 0.0 0.0 μB/f.u..
Computed energy of formation, in the same sequence as the records: -532 -292 -468 -494 -580 -370 meV/atom.